# 1
DFT (GGA-PBE) results for crystalline CuNiHRh2 at its relaxed geometry.

ΔE to the lowest computed polymorph   0 meV per atom
Raw total energy   -0.2033 Ha/atom

Structure (POSCAR):
```
CuNiHRh2
1.0
3.862 0.000 0.000
0.000 3.862 0.000
0.000 0.000 3.655
Cu Ni H Rh
1 1 1 2
Direct
0.000 0.000 0.000
0.500 0.500 0.000
0.500 0.500 0.500
0.000 0.500 0.500
0.500 0.000 0.500
```

=====

# 2
DFT (GGA-PBE) results for crystalline VSnSbBr2 at its relaxed geometry.

Energy relative to the elements, uncorrected   0.75 eV/atom
Raw total energy   -0.1237 Ha/atom

Structure (POSCAR):
```
VSnSbBr2
1.0
5.484 0.000 0.000
0.000 5.484 0.000
0.000 0.000 6.123
V Sn Sb Br
1 1 1 2
Direct
0.000 0.000 0.000
0.500 0.500 0.000
0.500 0.500 0.500
0.000 0.500 0.500
0.500 0.000 0.500
```

=====

# 3
DFT (GGA-PBE) results for crystalline NdTlInSn at its relaxed geometry.

Raw total energy   -0.1434 Ha/atom
E_form   -1.730 eV/f.u.

Structure (POSCAR):
```
NdTlInSn
1.0
4.664 0.000 0.000
0.000 4.768 0.000
0.000 0.000 4.892
Nd Tl In Sn
1 1 1 1
Direct
0.000 0.000 0.000
0.500 0.000 0.500
0.000 0.500 0.500
0.500 0.500 0.000
```